The following is a DFT calculation (PBE) of Cs2Cd6Hg3 after structural relaxation.

Its formation energy is -0.08 eV/atom. Its final energy is -9.0 eV per formula unit. Its symmetry is No. 189.

The structure in POSCAR format:
```
Cs2Cd6Hg3
1.0
4.720 0.000 0.000
0.000 9.307 0.000
0.000 -4.654 8.060
Hg Cd Cs
3 6 2
direct
0.500 0.000 0.598
0.500 0.598 0.000
0.500 0.402 0.402
0.000 0.813 0.000
0.500 0.261 0.000
0.000 0.000 0.813
0.500 0.000 0.261
0.500 0.739 0.739
0.000 0.187 0.187
0.000 0.667 0.333
0.000 0.333 0.667
```


The following is a DFT calculation (PBE) of LaMg2Cu after structural relaxation.

Its formation energy is 0.12 eV/atom. Its final energy is -11.7 eV per formula unit. Its symmetry is No. 166.

The structure in POSCAR format:
```
LaMg2Cu
1.0
9.576 -0.109 -0.064
8.986 3.311 -0.064
8.986 1.550 2.927
Mg La Cu
2 1 1
direct
0.522 0.522 0.522
0.978 0.978 0.978
0.750 0.750 0.750
0.250 0.250 0.250
```


The following is a DFT calculation (PBE) of FeSe3 after structural relaxation.

Its final energy is -18.7 eV per formula unit. Its symmetry is No. 187. As for the uncorrected formation energy: 0.063 eV per atom.

The structure in POSCAR format:
```
FeSe3
1.0
-0.259 1.001 -2.949
2.474 -1.706 0.860
-4.756 -8.067 -2.319
Se Fe
3 1
direct
0.667 0.333 0.165
0.667 0.333 0.835
0.000 0.000 0.500
0.000 0.000 0.000
```


The following is a DFT calculation (PBE) of Ba2In4AgGe3 after structural relaxation.

Its formation energy is -0.30 eV/atom. Its final energy is -34.5 eV per formula unit. Its symmetry is No. 115.

The structure in POSCAR format:
```
Ba2In4AgGe3
1.0
4.992 0.000 0.000
0.000 4.992 0.000
0.000 0.000 11.178
In Ge Ba Ag
4 3 2 1
direct
0.500 0.000 0.622
0.500 0.500 0.000
0.000 0.500 0.378
0.000 0.000 0.000
0.000 0.500 0.130
0.000 0.000 0.500
0.500 0.000 0.870
0.500 0.000 0.259
0.000 0.500 0.741
0.500 0.500 0.500
```